Compound: TlH2N
Source: Alexandria via LeMat-Bulk
Functional: GGA-PBE
Structure: relaxed

Output
V in A^3/atom: 10.0
Symmetry: R-3m
Total magnetization in μB per formula unit: 0.00
Energy in eV per atom: -3.143

a b c (Å): 2.9398 2.9398 5.6020
angles (deg): 74.79 74.79 60.00
With the nearest neighbours (Å) after each atom.
Sites, in units of the cell vectors:
H1 0.1705 0.1705 0.4884  3 N 1.70, 3 H 1.70
H2 0.8295 0.8295 0.5116  3 N 1.70, 3 H 1.70
Tl1 0.0000 0.0000 0.0000  2 H 2.73, 6 Tl 2.94
N1 0.5000 0.5000 0.5000  6 H 1.70

Compound: BeRe2Tc
Source: Alexandria via LeMat-Bulk
Functional: GGA-PBE
Structure: relaxed

Output
V in A^3/atom: 13.8
Symmetry: Cm
Total magnetization in μB per formula unit: 0.00
Calculated formation energy in meV/atom: 170
Energy in eV per atom: -9.577

a b c (Å): 4.5805 4.5805 4.6466
angles (deg): 82.13 82.13 34.88
With the nearest neighbours (Å) after each atom.
Sites, in units of the cell vectors:
Re1 0.9980 0.9980 0.0111  3 Be 2.61-2.66, 4 Tc 2.62-2.77, 5 Re 2.63-2.75
Re2 0.7498 0.7498 0.7493  3 Tc 2.63-2.72, 5 Re 2.63-2.75, 4 Be 2.70
Tc1 0.5012 0.5012 0.4913  3 Be 2.60-2.69, 7 Re 2.62-2.77, 2 Tc 2.75
Be1 0.2510 0.2510 0.2483  3 Tc 2.60-2.69, 7 Re 2.61-2.70, 2 Be 2.75

Compound: YTlAg
Source: Alexandria via LeMat-Bulk
Functional: GGA-PBE
Structure: relaxed

Output
V in A^3/atom: 26.8
Symmetry: F-43m
Total magnetization in μB per formula unit: 0.00
Calculated formation energy in meV/atom: -187
Energy in eV per atom: -4.081

a b c (Å): 4.8423 4.8423 4.8423
angles (deg): 60.00 60.00 60.00
With the nearest neighbours (Å) after each atom.
Sites, in units of the cell vectors:
Ag1 0.2500 0.2500 0.2500  4 Tl 2.97, 4 Y 2.97
Tl1 0.0000 0.0000 0.0000  4 Ag 2.97
Y1 0.5000 0.5000 0.5000  4 Ag 2.97

Compound: PuMnSi2
Source: Alexandria via LeMat-Bulk
Functional: GGA-PBE
Structure: relaxed

Output
V in A^3/atom: 16.5
Symmetry: Pnma
Total magnetization in μB per formula unit: 3.15
Energy in eV per atom: -9.057
Energy relative to the elements, uncorrected in eV per atom: -0.470

a b c (Å): 3.9885 6.6254 9.9959
angles (deg): 90.00 90.00 90.00
With the nearest neighbours (Å) after each atom.
Sites, in units of the cell vectors:
Pu1 0.7500 0.6865 0.3673  9 Si 2.93-3.16, 3 Mn 2.94-3.12
Pu2 0.7500 0.1865 0.1327  9 Si 2.93-3.16, 3 Mn 2.94-3.12
Pu3 0.2500 0.3135 0.6327  9 Si 2.93-3.16, 3 Mn 2.94-3.12
Pu4 0.2500 0.8135 0.8673  9 Si 2.93-3.16, 3 Mn 2.94-3.12
Mn1 0.2500 0.0099 0.3934  5 Si 2.35-2.47
Mn2 0.7500 0.9901 0.6066  5 Si 2.35-2.47
Mn3 0.2500 0.5099 0.1066  5 Si 2.35-2.47
Mn4 0.7500 0.4901 0.8934  5 Si 2.35-2.47
Si1 0.7500 0.7175 0.0742  3 Mn 2.35-2.44, 2 Si 2.44
Si2 0.2500 0.2825 0.9258  3 Mn 2.35-2.44, 2 Si 2.44
Si3 0.7500 0.2175 0.4258  3 Mn 2.35-2.44, 2 Si 2.44
Si4 0.2500 0.7825 0.5742  3 Mn 2.35-2.44, 2 Si 2.44
Si5 0.7500 0.1321 0.8255  2 Mn 2.38-2.47, 2 Si 2.44
Si6 0.2500 0.3679 0.3255  2 Mn 2.38-2.47, 2 Si 2.44
Si7 0.7500 0.6321 0.6745  2 Mn 2.38-2.47, 2 Si 2.44
Si8 0.2500 0.8679 0.1745  2 Mn 2.38-2.47, 2 Si 2.44

Compound: Pm4MgSe5
Source: Alexandria via LeMat-Bulk
Functional: GGA-PBE
Structure: relaxed

Output
V in A^3/atom: 25.3
Symmetry: I4
Total magnetization in μB per formula unit: 0.00
Energy in eV per atom: -5.477
Energy relative to the elements, uncorrected in eV per atom: -1.675

a b c (Å): 5.8857 7.1885 7.1885
angles (deg): 80.35 65.83 65.83
With the nearest neighbours (Å) after each atom.
Sites, in units of the cell vectors:
Pm1 0.4064 0.4005 0.7876  6 Se 2.94-3.06
Pm2 0.8069 0.7876 0.5995  6 Se 2.94-3.06
Pm3 0.1940 0.2124 0.4005  6 Se 2.94-3.06
Pm4 0.5945 0.5995 0.2124  6 Se 2.94-3.06
Mg1 0.0062 0.0000 0.0000  6 Se 2.74-2.98
Se1 0.9035 0.3760 0.8177  1 Mg 2.74, 5 Pm 2.94-3.06
Se2 0.2796 0.8177 0.6240  1 Mg 2.74, 5 Pm 2.94-3.06
Se3 0.7213 0.1823 0.3760  1 Mg 2.74, 5 Pm 2.94-3.06
Se4 0.0973 0.6240 0.1823  1 Mg 2.74, 5 Pm 2.94-3.06
Se5 0.5007 0.0000 0.0000  2 Mg 2.91-2.98, 4 Pm 2.97

Compound: La7TbNd12
Source: Alexandria via LeMat-Bulk
Functional: GGA-PBE
Structure: relaxed

Output
V in A^3/atom: 36.5
Symmetry: R-3m
Total magnetization in μB per formula unit: 0.00
Calculated formation energy in meV/atom: 181
Energy in eV per atom: -4.635

a b c (Å): 10.4494 10.4494 10.4494
angles (deg): 113.23 113.23 113.23
With the nearest neighbours (Å) after each atom.
Sites, in units of the cell vectors:
La1 0.9166 0.5715 0.9164  1 La 3.17, 2 Nd 3.40
La2 0.4285 0.0836 0.0834  1 La 3.17, 2 Nd 3.40
La3 0.0836 0.0834 0.4285  1 La 3.17, 2 Nd 3.40
La4 0.5000 0.5000 0.5000  6 Nd 3.98, 2 Tb 4.16, 6 La 4.29
La5 0.9164 0.9166 0.5715  1 La 3.17, 2 Nd 3.40
La6 0.5715 0.9164 0.9166  1 La 3.17, 2 Nd 3.40
La7 0.0834 0.4285 0.0836  1 La 3.17, 2 Nd 3.40
Tb1 0.0000 0.0000 0.0000  6 Nd 3.81, 8 La 3.85-4.16
Nd1 0.7855 0.2146 0.5000  2 Nd 3.13
Nd2 0.7854 0.5000 0.2145  2 Nd 3.13
Nd3 0.3392 0.0127 0.3390  3 La 3.40-3.57, 4 Nd 3.50-3.55
Nd4 0.9873 0.6610 0.6608  3 La 3.40-3.57, 4 Nd 3.50-3.55
Nd5 0.5000 0.2145 0.7854  2 Nd 3.13
Nd6 0.6610 0.6608 0.9873  3 La 3.40-3.57, 4 Nd 3.50-3.55
Nd7 0.3390 0.3392 0.0127  3 La 3.40-3.57, 4 Nd 3.50-3.55
Nd8 0.5000 0.7855 0.2146  2 Nd 3.13
Nd9 0.0127 0.3390 0.3392  3 La 3.40-3.57, 4 Nd 3.50-3.55
Nd10 0.6608 0.9873 0.6610  3 La 3.40-3.57, 4 Nd 3.50-3.55
Nd11 0.2146 0.5000 0.7855  2 Nd 3.13
Nd12 0.2145 0.7854 0.5000  2 Nd 3.13

Compound: Ba2MnAs
Source: Alexandria via LeMat-Bulk
Functional: GGA-PBE
Structure: relaxed

Output
V in A^3/atom: 30.5
Symmetry: F-43m
Total magnetization in μB per formula unit: 3.83
Calculated formation energy in meV/atom: 221
Energy in eV per atom: -4.195

a b c (Å): 5.5665 5.5665 5.5665
angles (deg): 60.00 60.00 60.00
With the nearest neighbours (Å) after each atom.
Sites, in units of the cell vectors:
As1 0.5000 0.5000 0.5000  4 Ba 3.41, 4 Mn 3.41
Ba1 0.0000 0.0000 0.0000  4 Ba 3.41, 4 Mn 3.41
Ba2 0.7500 0.7500 0.7500  4 As 3.41, 4 Ba 3.41
Mn1 0.2500 0.2500 0.2500  4 Ba 3.41, 4 As 3.41

Compound: CoPPt2
Source: Alexandria via LeMat-Bulk
Functional: GGA-PBE
Structure: relaxed

Output
V in A^3/atom: 13.7
Symmetry: R3m
Total magnetization in μB per formula unit: 0.39
Calculated formation energy in meV/atom: -157
Energy in eV per atom: -6.306

a b c (Å): 8.1570 8.1570 8.1570
angles (deg): 19.85 19.85 19.85
With the nearest neighbours (Å) after each atom.
Sites, in units of the cell vectors:
Co1 0.4864 0.4864 0.4864  3 P 2.19
P1 0.7586 0.7586 0.7586  3 Co 2.19
Pt1 0.0114 0.0114 0.0114  3 P 2.52, 6 Pt 2.81
Pt2 0.2437 0.2437 0.2437  3 Co 2.71, 9 Pt 2.81-2.92